# TmLuCdC | OQMD | PBE | optimized geometry
# energy	-41.041	eV per cell
data_TmLuCdC
_chemical_formula_sum 'Tm2 Lu2 Cd2 C2'
_cell_length_a 3.4982
_cell_length_b 3.4982
_cell_length_c 16.1689
_cell_angle_alpha 90.00
_cell_angle_beta 90.00
_cell_angle_gamma 120.00
_symmetry_space_group_name_H-M 'P -6 m 2'
_symmetry_Int_Tables_number 187
_symmetry_space_group_name_Hall 'P -6 2'
loop_
_atom_site_label
_atom_site_type_symbol
_atom_site_fract_x
_atom_site_fract_y
_atom_site_fract_z
Tm1 Tm 0.0000 0.0000 0.1683
Lu1 Lu 0.6667 0.3333 0.3316
Cd1 Cd 0.0000 0.0000 0.5000
Cd2 Cd 0.6667 0.3333 0.0000
C1 C 0.3333 0.6667 0.2502